No. 1
Below is a relaxed Tb2Ga4Ir3 crystal, with properties calculated at the PBE-GGA level.

a = 7.9412 Å, b = 6.9064 Å, c = 5.5251 Å
α = 78.54°, β = 58.47°, γ = 42.99°
Closest atoms and distances in Å follow each position.
Positions (direct):
Tb1 0.1250 0.1250 0.8750  8 Ga 3.15-3.23, 1 Tb 3.17, 6 Ir 3.18
Tb2 0.8750 0.8750 0.1250  8 Ga 3.15-3.23, 1 Tb 3.17, 6 Ir 3.18
Ga1 0.1684 0.5080 0.4920  3 Ir 2.59-2.62, 1 Ga 2.71
Ga2 0.4920 0.8316 0.1684  3 Ir 2.59-2.62, 1 Ga 2.71
Ga3 0.5080 0.1684 0.8316  3 Ir 2.59-2.62, 1 Ga 2.71
Ga4 0.8316 0.4920 0.5080  3 Ir 2.59-2.62, 1 Ga 2.71
Ir1 0.0000 0.0000 0.5000  4 Ga 2.59, 4 Ir 2.75-2.76
Ir2 0.5000 0.5000 0.0000  4 Ga 2.59, 4 Ir 2.75-2.76
Ir3 0.5000 0.5000 0.5000  4 Ga 2.62, 4 Ir 2.76

Values from the calculation:
N(E_F) = 5.6 states/eV per cell
ΔE_f = -0.64 eV per atom
Total energy = -5.9646 eV/atom

=====

No. 2
Below is a relaxed TbGa4Ir2 crystal, with properties calculated at the PBE-GGA level.

a = 17.1577 Å, b = 4.3029 Å, c = 6.6134 Å
α = 90.00°, β = 90.00°, γ = 90.00°
Closest atoms and distances in Å follow each position.
Positions (direct):
Tb1 0.1407 0.2500 0.0053  9 Ga 3.00-3.24, 4 Ir 3.19-3.29
Tb2 0.3593 0.7500 0.5053  9 Ga 3.00-3.24, 4 Ir 3.19-3.29
Tb3 0.6407 0.2500 0.4947  9 Ga 3.00-3.24, 4 Ir 3.19-3.29
Tb4 0.8593 0.7500 0.9947  9 Ga 3.00-3.24, 4 Ir 3.19-3.29
Ga1 0.0356 0.7500 0.8471  3 Ir 2.56-2.61, 2 Ga 2.77-2.83
Ga2 0.0674 0.2500 0.4877  4 Ir 2.52-2.74
Ga3 0.1872 0.7500 0.3041  4 Ir 2.58-2.60, 1 Ga 2.71
Ga4 0.1886 0.7500 0.7141  3 Ir 2.57-2.58, 2 Ga 2.71-2.77
Ga5 0.3114 0.2500 0.2141  3 Ir 2.57-2.58, 2 Ga 2.71-2.77
Ga6 0.3128 0.2500 0.8041  4 Ir 2.58-2.60, 1 Ga 2.71
Ga7 0.4326 0.7500 0.9877  4 Ir 2.52-2.74
Ga8 0.4644 0.2500 0.3471  3 Ir 2.56-2.61, 2 Ga 2.77-2.83
Ga9 0.5356 0.7500 0.6529  3 Ir 2.56-2.61, 2 Ga 2.77-2.83
Ga10 0.5674 0.2500 0.0123  4 Ir 2.52-2.74
Ga11 0.6872 0.7500 0.1959  4 Ir 2.58-2.60, 1 Ga 2.71
Ga12 0.6886 0.7500 0.7859  3 Ir 2.57-2.58, 2 Ga 2.71-2.77
Ga13 0.8114 0.2500 0.2859  3 Ir 2.57-2.58, 2 Ga 2.71-2.77
Ga14 0.8128 0.2500 0.6959  4 Ir 2.58-2.60, 1 Ga 2.71
Ga15 0.9326 0.7500 0.5123  4 Ir 2.52-2.74
Ga16 0.9644 0.2500 0.1529  3 Ir 2.56-2.61, 2 Ga 2.77-2.83
Ir1 0.0378 0.7500 0.2417  7 Ga 2.54-2.74
Ir2 0.2142 0.2500 0.5101  7 Ga 2.52-2.59
Ir3 0.2858 0.7500 0.0101  7 Ga 2.52-2.59
Ir4 0.4622 0.2500 0.7417  7 Ga 2.54-2.74
Ir5 0.5378 0.7500 0.2583  7 Ga 2.54-2.74
Ir6 0.7142 0.2500 0.9899  7 Ga 2.52-2.59
Ir7 0.7858 0.7500 0.4899  7 Ga 2.52-2.59
Ir8 0.9622 0.2500 0.7583  7 Ga 2.54-2.74

Values from the calculation:
N(E_F) = 14.4 states/eV per cell
ΔE_f = -0.64 eV per atom
Polymorph energy (0 for the lowest one) = 0.0 meV per atom
Total energy = -5.5597 eV/atom

=====

No. 3
Below is a relaxed Tb2Ga2Ir crystal, with properties calculated at the PBE-GGA level.

a = 5.7943 Å, b = 5.7943 Å, c = 10.6867 Å
α = 113.50°, β = 113.50°, γ = 41.77°
Closest atoms and distances in Å follow each position.
Positions (direct):
Tb1 0.0056 0.0056 0.3302  7 Ga 3.03-3.37, 3 Ir 3.06-3.15
Tb2 0.1900 0.1900 0.1219  2 Ir 2.97, 6 Ga 3.08-3.16
Tb3 0.8100 0.8100 0.8781  2 Ir 2.97, 6 Ga 3.08-3.16
Tb4 0.9944 0.9944 0.6698  7 Ga 3.03-3.37, 3 Ir 3.06-3.15
Ga1 0.3480 0.3480 0.4484  3 Ir 2.52-2.71
Ga2 0.4737 0.4737 0.1101  1 Ga 2.65, 1 Ir 2.67
Ga3 0.5263 0.5263 0.8899  1 Ga 2.65, 1 Ir 2.67
Ga4 0.6520 0.6520 0.5516  3 Ir 2.52-2.71
Ir1 0.2852 0.2852 0.6684  4 Ga 2.52-2.71
Ir2 0.7148 0.7148 0.3316  4 Ga 2.52-2.71

Values from the calculation:
N(E_F) = 8.0 states/eV per cell
ΔE_f = -0.76 eV per atom
Total energy = -5.5945 eV/atom

=====

No. 4
Below is a relaxed TbGa6Ir4 crystal, with properties calculated at the PBE-GGA level.

a = 6.5982 Å, b = 6.5982 Å, c = 6.5982 Å
α = 120.16°, β = 120.16°, γ = 89.72°
Closest atoms and distances in Å follow each position.
Positions (direct):
Tb1 0.0000 0.0000 0.0000  4 Ir 3.04, 8 Ga 3.22-3.29
Ga1 0.0000 0.5000 0.5000  4 Ir 2.52
Ga2 0.1233 0.4708 0.0000  4 Ir 2.43-2.64
Ga3 0.4708 0.1233 0.0000  4 Ir 2.43-2.64
Ga4 0.5000 0.0000 0.5000  4 Ir 2.52
Ga5 0.5292 0.5292 0.6526  4 Ir 2.43-2.64
Ga6 0.8767 0.8767 0.3474  4 Ir 2.43-2.64
Ir1 0.2370 0.2370 0.6326  6 Ga 2.43-2.64
Ir2 0.3956 0.7630 0.0000  6 Ga 2.43-2.64
Ir3 0.6044 0.6044 0.3674  6 Ga 2.43-2.64
Ir4 0.7630 0.3956 0.0000  6 Ga 2.43-2.64

Values from the calculation:
N(E_F) = 6.1 states/eV per cell
ΔE_f = -0.52 eV per atom
Total energy = -5.8150 eV/atom